Entry from the Alexandria database: TcMo3 after structural relaxation (GGA-PBE).

Summary:
calculated formation energy: 0.04 eV per atom
symmetry: Cmcm, No. 63
magnetization: 0.000 μB/atom
ΔE to the lowest computed polymorph: 17 meV/atom

Cell and atoms, written as POSCAR:
```
TcMo3
1.0
3.145 -4.430 0.000
3.145 4.430 0.000
0.000 0.000 4.462
Tc Mo
2 6
direct
0.121 0.879 0.750
0.879 0.121 0.250
0.128 0.377 0.750
0.372 0.628 0.250
0.377 0.128 0.250
0.623 0.872 0.750
0.628 0.372 0.750
0.872 0.623 0.250
```

***

Entry from the Alexandria database: NaCd2InTe4 after structural relaxation (GGA-PBE).

Summary:
symmetry: I-42m, No. 121
magnetization: 0.000 μB/atom
calculated total energy: -2.8210 eV per atom

Cell and atoms, written as POSCAR:
```
NaCd2InTe4
1.0
-3.409 3.409 6.483
3.409 -3.409 6.483
3.409 3.409 -6.483
Na Cd In Te
1 2 1 4
direct
0.000 0.000 0.000
0.250 0.750 0.500
0.750 0.250 0.500
0.500 0.500 0.000
0.134 0.134 0.525
0.391 0.866 0.000
0.609 0.609 0.475
0.866 0.391 0.000
```